Material: GaReN2F
Method: DFT, GGA-PBE
State: optimized geometry

Lattice parameters (Å, degrees): 3.899 3.899 4.295 90.00 90.00 90.00
Space group P4/mmm (No. 123)
One atom of each set of equivalent atoms:
Ga 0.000 0.000 0.000 (multiplicity 1)
Re 0.500 0.500 0.500 (multiplicity 1)
N 0.000 0.500 0.500 (multiplicity 2)
F 0.500 0.500 0.000 (multiplicity 1)

Summary:
Formation energy from raw total energies in eV/atom: -0.063
Density in g/cm³: 7.7
Volume in Å³/atom: 13.061
Offset from the most stable computed form in meV per atom: 0